# 1
Below is a geometry-optimized Li2Ag2Pd2Au structure, with properties calculated at the PBE level.

abc: 8.708 4.061 6.449
angles: 90.00 100.88 90.00
Space group C2/m (No. 12)
Symmetry-distinct sites (fractional):
Li (0.207, 0.000, 0.164) [4 per cell]
Ag (0.079, 0.000, 0.720) [4 per cell]
Pd (0.141, 0.500, 0.428) [4 per cell]
Au (0.000, 0.500, 0.000) [2 per cell]

## Properties
**Total magnetic moment**: 0.0000 μB/atom
**Calculated formation energy**: -0.288 eV/atom

# 2
Below is a geometry-optimized PmNpI6 structure, with properties calculated at the PBE level.

abc: 8.038 13.853 7.889
angles: 90.00 93.38 90.00
Space group C2/m (No. 12)
Symmetry-distinct sites (fractional):
Pm (0.000, 0.000, 0.000) [2 per cell]
Np (0.000, 0.000, 0.500) [2 per cell]
I (0.151, 0.151, 0.759) [8 per cell]
I (0.198, 0.500, 0.732) [4 per cell]

## Properties
**Total magnetic moment**: 0.5000 μB/atom
**Formation energy (no corrections)**: -866 kJ/mol of formula units

Question: What is the total magnetic moment in the second record?
Answer: 0.5000 μB/atom